Entry 1:
Ba2CoP2N6 (GGA-PBE, relaxed); crystal system = trigonal; symmetry = R-3m, No. 166
1.0
2.799 1.616 5.709
-2.799 1.616 5.709
0.000 -3.231 5.709
Ba Co P N
2 1 2 6
Cartesian
0.000 0.000 3.664
0.000 0.000 13.464
0.000 0.000 0.000
0.000 0.000 6.862
0.000 0.000 10.266
0.000 -1.588 6.935
-1.376 0.794 6.935
-1.376 -0.794 10.193
1.376 0.794 6.935
1.376 -0.794 10.193
0.000 1.588 10.193

***

Entry 2:
BaCoPN (GGA-PBE, relaxed); crystal system = monoclinic; symmetry = Pm, No. 6
1.0
3.471 0.000 0.000
0.000 4.930 0.000
-0.023 0.000 4.228
Ba Co P N
1 1 1 1
Cartesian
0.000 0.000 0.000
3.437 2.465 1.688
1.701 2.465 2.932
1.723 2.465 0.389

***

Entry 3:
BaCo2PN (GGA-PBE, relaxed); crystal system = orthorhombic; symmetry = Cmcm, No. 63
1.0
2.082 -5.399 0.000
2.082 5.399 0.000
0.000 0.000 6.733
Ba Co P N
2 4 2 2
Cartesian
2.082 4.839 5.050
2.082 -4.839 1.683
2.082 1.738 3.719
2.082 1.738 6.381
2.082 -1.738 0.352
2.082 -1.738 3.015
2.082 2.929 1.683
2.082 -2.929 5.050
2.082 0.000 0.000
2.082 0.000 3.367

***

Entry 4:
BaPa2CoN5 (GGA-PBE, relaxed); crystal system = tetragonal; symmetry = I4/mcm, No. 140
1.0
-3.321 3.321 5.741
3.321 -3.321 5.741
3.321 3.321 -5.741
Ba Pa Co N
2 4 2 10
Cartesian
0.000 0.000 2.870
0.000 0.000 8.611
4.534 1.213 0.000
1.213 2.107 0.000
2.107 1.213 5.741
-1.213 2.107 5.741
3.321 0.000 2.870
0.000 3.321 2.870
0.000 0.000 0.000
2.454 0.867 -1.462
2.454 -0.867 4.278
2.454 0.867 1.462
2.454 -0.867 7.203
0.000 0.000 5.741
0.867 4.188 -1.462
0.867 2.454 4.278
0.867 4.188 1.462
0.867 2.454 7.203

***

Entry 5:
BaPa2Co2N6 (GGA-PBE, relaxed); crystal system = triclinic; symmetry = P-1, No. 2
1.0
6.106 0.000 0.000
2.807 5.647 0.000
3.024 1.707 5.375
Ba Pa Co N
1 2 2 6
Cartesian
0.000 0.000 0.000
2.222 2.344 1.677
9.715 5.010 3.698
5.681 4.438 1.684
6.256 2.916 3.691
3.906 3.826 1.792
5.057 3.476 4.880
5.527 5.932 2.665
6.410 1.422 2.710
6.880 3.878 0.495
8.031 3.528 3.583

***

Entry 6:
BaPmCoN2 (GGA-PBE, relaxed); crystal system = monoclinic; symmetry = P2/c, No. 13
1.0
6.117 0.000 0.000
0.000 4.840 0.000
-1.131 0.000 6.972
Ba Pm Co N
2 2 2 4
Cartesian
-0.283 0.549 1.743
-0.848 4.290 5.229
2.210 2.331 5.229
2.776 2.509 1.743
3.059 0.000 0.000
2.493 0.000 3.486
0.664 1.286 6.819
1.230 3.554 3.333
3.756 1.286 3.639
4.322 3.554 0.153

***

Summary of energy relative to the elements, uncorrected in eV/atom
-0.2396, -0.3130, -0.3249, -1.0415, -0.6063, -0.5725
(order as listed above)